1.
The following is a DFT calculation (GGA-PBE) of a relaxed LiSbPd2 crystal.

Results
The value obtained for the total energy is -18.112 eV per cell. For the magnetization, the calculation gives 0.00 Bohr magnetons per cell. As for the uncorrected formation energy: -0.422 eV per atom. The density of states at the Fermi level comes out at 2.1 states/eV/cell.

a b c (Å): 3.3999 3.3999 5.8300
angles (deg): 90.00 90.00 90.00
Sites, in units of the cell vectors:
Sb 0.5000 0.5000 0.5000
Pd 0.0000 0.0000 0.7560
Pd 0.0000 0.0000 0.2440
Li 0.5000 0.5000 0.0000

***

2.
The following is a DFT calculation (GGA-PBE) of a relaxed BaSr2Be crystal.

Results
The value obtained for the total energy is -6.605 eV per cell. As for the formation energy: 602 meV/atom. For the magnetization, the calculation gives 0.00 Bohr magnetons per cell. The density of states at the Fermi level comes out at 4.0 states/eV/cell.

a b c (Å): 6.6159 7.3336 4.0694
angles (deg): 76.17 85.12 115.31
Sites, in units of the cell vectors:
Sr 0.0000 0.0000 0.0000
Sr 0.5000 0.0000 0.5000
Ba 0.0000 0.5000 0.5000
Be 0.5000 0.5000 0.0000

***

3.
The following is a DFT calculation (GGA-PBE) of a relaxed AgPt2Au crystal.

Results
The value obtained for the total energy is -18.039 eV per cell. As for the formation energy: 43 meV/atom. The calculation puts the energy above the most stable polymorph in this dataset at 7.4 kJ/mol of atoms. For the magnetization, the calculation gives 0.00 Bohr magnetons per cell. The density of states at the Fermi level comes out at 4.6 states/eV/cell.

a b c (Å): 4.9301 4.9301 5.0304
angles (deg): 80.67 80.67 33.65
Sites, in units of the cell vectors:
Au 0.7471 0.7471 0.7441
Ag 0.5016 0.5016 0.5057
Pt 0.9973 0.9973 0.0156
Pt 0.2540 0.2540 0.2346

***

4.
The following is a DFT calculation (GGA-PBE) of a relaxed MnCoTcAs crystal.

Results
The value obtained for the total energy is -31.537 eV per cell. As for the formation energy: -61 meV/atom. For the magnetization, the calculation gives 4.02 Bohr magnetons per cell. The density of states at the Fermi level comes out at 2.3 states/eV/cell.

a b c (Å): 4.1923 4.1923 4.1923
angles (deg): 60.00 60.00 60.00
Each line ends with the local moment (μB).
Sites, in units of the cell vectors:
As 0.7500 0.7500 0.7500  0.06
Mn 0.2500 0.2500 0.2500  3.01
Co 0.0000 0.0000 0.0000  1.04
Tc 0.5000 0.5000 0.5000  -0.18